First-principles (GGA+U) data for a relaxed NpUCrO6 crystal, as listed in Alexandria via LeMat-Bulk.

The calculation puts the size of the total moment at 5.40 μB per formula unit. Its total energy is -9.577 eV/atom. Its symmetry is P-31c (163).

Cell lengths 5.3981, 5.3981, 9.7813 Å; angles 90.00, 90.00, 120.00 degrees
Fractional coordinates of all 18 atoms:
Np 0.0000 0.0000 0.0000
Np 0.0000 0.0000 0.5000
U 0.3333 0.6667 0.2500
U 0.6667 0.3333 0.7500
Cr 0.3333 0.6667 0.7500
Cr 0.6667 0.3333 0.2500
O 0.0143 0.3505 0.6355
O 0.0143 0.6638 0.8645
O 0.3362 0.3505 0.8645
O 0.3362 0.9857 0.6355
O 0.3505 0.0143 0.1355
O 0.3505 0.3362 0.3645
O 0.6495 0.6638 0.6355
O 0.6495 0.9857 0.8645
O 0.6638 0.0143 0.3645
O 0.6638 0.6495 0.1355
O 0.9857 0.3362 0.1355
O 0.9857 0.6495 0.3645